# Ti3Tl2Cl10

A relaxed Ti3Tl2Cl10 crystal (PBE, the Alexandria database).

Lattice parameters (Å, degrees): 7.151 9.859 12.253 110.93 106.97 90.00
Positions (direct):
Ti 0.822 0.980 0.643
Ti 0.240 0.000 0.000
Ti 0.923 0.520 0.846
Ti 0.178 0.020 0.357
Ti 0.760 0.000 0.000
Ti 0.077 0.480 0.154
Cl 0.136 0.967 0.781
Cl 0.482 0.825 0.963
Cl 0.768 0.724 0.535
Cl 0.103 0.534 0.716
Cl 0.645 0.967 0.781
Cl 0.614 0.534 0.716
Cl 0.771 0.500 0.000
Cl 0.000 0.000 0.500
Cl 0.864 0.033 0.219
Cl 0.386 0.466 0.284
Cl 0.355 0.033 0.219
Cl 0.022 0.198 0.043
Cl 0.897 0.466 0.284
Cl 0.130 0.749 0.260
Cl 0.518 0.175 0.037
Cl 0.870 0.251 0.740
Cl 0.500 0.000 0.500
Cl 0.229 0.500 0.000
Cl 0.232 0.276 0.465
Cl 0.978 0.802 0.957
Tl 0.269 0.671 0.537
Tl 0.630 0.724 0.259
Tl 0.370 0.276 0.741
Tl 0.731 0.329 0.463

Values from the calculation:
Crystal system: monoclinic
Uncorrected energy, eV/atom: -4.51
Density of states at the Fermi level, states/eV/cell: 19.147
Space-group type: No. 12

---

# Nb2FeAuC

A relaxed Nb2FeAuC crystal (PBE, the Alexandria database).

Lattice parameters (Å, degrees): 4.364 4.364 3.822 90.00 90.00 90.00
Positions (direct):
Au 0.500 0.500 0.500
Nb 0.000 0.500 0.000
Nb 0.500 0.000 0.000
C 0.000 0.000 0.000
Fe 0.000 0.000 0.500

Values from the calculation:
Crystal system: tetragonal
Uncorrected energy, eV/atom: -8.36
E_form, eV per atom: -0.1389
Density of states at the Fermi level, states/eV/cell: 4.600
Space-group type: No. 123

---

# CaSmGa

A relaxed CaSmGa crystal (PBE, the Alexandria database).

Lattice parameters (Å, degrees): 3.840 5.076 5.076 120.00 90.00 90.00
Positions (direct):
Ga 0.655 0.667 0.333
Ca 0.942 0.000 0.000
Sm 0.403 0.333 0.667

Values from the calculation:
Crystal system: trigonal
Uncorrected energy, eV/atom: -3.46
E_form, eV per atom: -0.2112
Offset from the most stable computed form, meV/atom: 206
Density of states at the Fermi level, states/eV/cell: 1.409
Space-group type: No. 156

---

# AlPPbS2

A relaxed AlPPbS2 crystal (PBE, the Alexandria database).

Lattice parameters (Å, degrees): 4.930 4.930 4.794 90.00 90.00 90.00
Positions (direct):
Pb 0.500 0.500 0.500
P 0.000 0.000 0.500
S 0.500 0.000 0.000
S 0.000 0.500 0.000
Al 0.000 0.000 0.000

Values from the calculation:
Crystal system: tetragonal
Uncorrected energy, eV/atom: -4.26
Offset from the most stable computed form, meV/atom: 0
Density of states at the Fermi level, states/eV/cell: 4.537
Space-group type: No. 123

---

# MnMo2Br2

A relaxed MnMo2Br2 crystal (PBE, the Alexandria database).

Lattice parameters (Å, degrees): 6.421 6.421 6.421 139.48 139.48 58.64
Positions (direct):
Mo 0.596 0.596 0.000
Mo 0.404 0.404 0.000
Br 0.250 0.750 0.500
Br 0.750 0.250 0.500
Mn 0.000 0.000 0.000

Values from the calculation:
Crystal system: tetragonal
Uncorrected energy, eV/atom: -5.99
Density of states at the Fermi level, states/eV/cell: 4.187
Space-group type: No. 139

---

# Ca4Cu5As6

A relaxed Ca4Cu5As6 crystal (PBE, the Alexandria database).

Lattice parameters (Å, degrees): 4.191 9.386 15.610 90.00 90.00 102.90
Positions (direct):
As 0.218 0.437 0.762
As 0.567 0.134 0.367
As 0.573 0.145 0.630
As 0.567 0.134 0.894
As 0.782 0.564 0.999
As 0.433 0.866 0.867
As 0.880 0.760 0.630
As 0.120 0.240 0.130
As 0.427 0.855 0.130
As 0.433 0.866 0.394
As 0.218 0.436 0.499
As 0.782 0.563 0.262
Cu 0.852 0.703 0.130
Cu 0.352 0.704 0.994
Cu 0.442 0.883 0.630
Cu 0.558 0.117 0.130
Cu 0.352 0.704 0.267
Cu 0.648 0.296 0.767
Cu 0.648 0.296 0.494
Cu 0.148 0.297 0.630
Cu 0.299 0.597 0.630
Cu 0.701 0.403 0.130
Ca 0.979 0.958 0.000
Ca 0.021 0.043 0.760
Ca 0.824 0.648 0.451
Ca 0.176 0.352 0.951
Ca 0.021 0.042 0.500
Ca 0.824 0.648 0.810
Ca 0.176 0.352 0.310
Ca 0.979 0.957 0.260

Values from the calculation:
Crystal system: orthorhombic
Uncorrected energy, eV/atom: -4.38
E_form, eV per atom: -0.6220
Density of states at the Fermi level, states/eV/cell: 13.176
Space-group type: No. 63

---

Look up the density of states at the Fermi level of the sixth one.
13.176 states/eV/cell

---

Among the records above, which one has the highest uncorrected energy?
CaSmGa